Here is an optimized crystal structure of Y3WSe2O6 from Alexandria via LeMat-Bulk. Energies are from GGA+U.

The calculation puts the total energy at -7.473 eV/atom.

a = 6.732 Å, b = 6.732 Å, c = 5.577 Å
α = 98.17°, β = 98.17°, γ = 57.94°
Fractional coordinates of all 12 atoms:
Y1 0.000 0.000 0.000
Y2 0.000 0.500 0.500
Y3 0.500 0.000 0.500
W1 0.500 0.500 0.500
Se1 0.217 0.217 0.884
Se2 0.783 0.783 0.116
O1 0.220 0.673 0.699
O2 0.327 0.780 0.301
O3 0.341 0.341 0.338
O4 0.659 0.659 0.662
O5 0.673 0.220 0.699
O6 0.780 0.327 0.301